A plane-wave DFT calculation with PBE was carried out for crystalline La4Sm2Dy5 at its relaxed geometry.

abc: 3.5518 8.7648 14.6597
angles: 122.64 96.96 90.00
Atoms (fractional coordinates):
La 0.5899 0.4819 0.1797
La 0.4101 0.5181 0.8203
La 0.9586 0.2580 0.9172
La 0.0414 0.7420 0.0828
Dy 0.1322 0.2137 0.2643
Dy 0.5000 0.0000 0.0000
Dy 0.8120 0.0947 0.6240
Dy 0.1880 0.9053 0.3760
Dy 0.8678 0.7863 0.7357
Sm 0.7262 0.6254 0.4523
Sm 0.2738 0.3746 0.5477

Summary:
formation energy: 0.12 eV per atom
E_tot: -4.62 eV/atom
spin magnetization: 0.00 μB/f.u.
energy above the lowest structure with this stoichiometry: 0.036 eV per atom

---

A plane-wave DFT calculation with PBE was carried out for crystalline LaSm2Dy2 at its relaxed geometry.

abc: 6.3573 6.3573 9.4689
angles: 107.30 109.63 93.25
Atoms (fractional coordinates):
Dy 0.6186 0.7457 0.4517
Dy 0.7060 0.3330 0.9517
Dy 0.2940 0.6670 0.0483
Dy 0.3814 0.2543 0.5483
La 0.8278 0.0778 0.2500
La 0.1722 0.9222 0.7500
Sm 0.7051 0.7770 0.8375
Sm 0.0605 0.6324 0.3375
Sm 0.9395 0.3676 0.6625
Sm 0.2949 0.2230 0.1625

Summary:
formation energy: 0.13 eV per atom
E_tot: -4.59 eV/atom
spin magnetization: 0.00 μB/f.u.
energy above the lowest structure with this stoichiometry: 0.047 eV per atom

---

A plane-wave DFT calculation with PBE was carried out for crystalline La3SmDy8 at its relaxed geometry.

abc: 8.7676 8.7676 8.7676
angles: 97.90 97.71 136.75
Atoms (fractional coordinates):
Dy 0.8276 0.2496 0.0771
Dy 0.5021 0.7483 0.7538
Dy 0.9945 0.7483 0.2462
Dy 0.4979 0.2517 0.2462
Dy 0.1724 0.2495 0.4220
Dy 0.8275 0.7504 0.5780
Dy 0.1725 0.7505 0.9229
Dy 0.0055 0.2517 0.7538
Sm 0.0000 0.0000 0.0000
La 0.5000 0.2527 0.7527
La 0.0000 0.5000 0.5000
La 0.5000 0.7473 0.2473

Summary:
formation energy: 0.27 eV per atom
E_tot: -4.42 eV/atom
spin magnetization: 0.00 μB/f.u.

---

A plane-wave DFT calculation with PBE was carried out for crystalline La7Sm3Dy2 at its relaxed geometry.

abc: 3.5948 6.5777 18.4826
angles: 75.02 90.00 90.00
Atoms (fractional coordinates):
La 0.5000 0.9486 0.8280
La 0.0000 0.4420 0.8314
La 0.5000 0.7698 0.4908
La 0.5000 0.0514 0.1720
La 0.0000 0.5580 0.1686
La 0.5000 0.2302 0.5092
La 0.0000 0.0000 0.0000
Sm 0.0000 0.8805 0.6632
Sm 0.0000 0.1195 0.3368
Sm 0.5000 0.5000 0.0000
Dy 0.5000 0.6120 0.3307
Dy 0.5000 0.3880 0.6693

Summary:
formation energy: 0.07 eV per atom
E_tot: -4.76 eV/atom
spin magnetization: 0.00 μB/f.u.
energy above the lowest structure with this stoichiometry: 0.000 eV per atom

---

A plane-wave DFT calculation with PBE was carried out for crystalline La3Sm4Dy3 at its relaxed geometry.

abc: 3.8015 9.5843 9.5843
angles: 89.77 90.00 90.00
Atoms (fractional coordinates):
La 0.0000 0.5063 0.0035
La 0.5000 0.1714 0.8286
La 0.0000 0.9965 0.4937
Sm 0.0000 0.6265 0.3735
Sm 0.0000 0.1238 0.1313
Sm 0.0000 0.8687 0.8762
Sm 0.0000 0.3766 0.6234
Dy 0.5000 0.3310 0.3288
Dy 0.5000 0.6712 0.6690
Dy 0.5000 0.8281 0.1719

Summary:
formation energy: 0.08 eV per atom
E_tot: -4.66 eV/atom
spin magnetization: 0.00 μB/f.u.

---

A plane-wave DFT calculation with PBE was carried out for crystalline La3Sm2Dy3 at its relaxed geometry.

abc: 5.0930 5.1719 10.9830
angles: 103.62 103.41 90.00
Atoms (fractional coordinates):
La 0.3767 0.3767 0.7534
La 0.5000 0.0000 0.0000
La 0.6233 0.6233 0.2466
Sm 0.2512 0.7512 0.5023
Sm 0.7488 0.2488 0.4977
Dy 0.8732 0.8732 0.7463
Dy 0.0000 0.5000 0.0000
Dy 0.1268 0.1268 0.2537

Summary:
formation energy: 0.03 eV per atom
E_tot: -4.73 eV/atom
spin magnetization: 0.00 μB/f.u.